The following is a PBE calculation of crystalline NdGd2NiIr2Pb3 at its relaxed geometry, from OQMD.

Computed properties:
total magnetic moment	0.00	μB per atom
energy	-5.919	eV/atom

abc: 3.842 13.534 7.794
angles: 90.00 90.00 90.00
Space group Amm2 (No. 38)
Asymmetric unit:
Nd 0.000 0.000 0.000 (multiplicity 2)
Gd 0.000 0.206 0.616 (multiplicity 4)
Ni 0.000 0.000 0.413 (multiplicity 2)
Ir 0.500 0.169 0.910 (multiplicity 4)
Pb 0.500 0.000 0.665 (multiplicity 2)
Pb 0.500 0.128 0.284 (multiplicity 4)